# 1
DFT (PBE-GGA) results for crystalline SiHg2Se at its relaxed geometry.

Computed properties:
D(E_F) (states/eV/cell): 1.2
Total energy (eV/atom): -2.27
Energy relative to the elements, uncorrected (eV/atom): 0.1047
Total moment (μB per formula unit): 0.00
Energy above the most stable polymorph in this dataset (meV per atom): 88

Lattice parameters (Å, degrees): 2.825 3.557 9.761 90.00 94.05 90.00
Space group Pm (No. 6)
Unique sites:
Si1 0.000 0.000 0.000 (multiplicity 1)
Hg1 0.081 0.000 0.482 (multiplicity 1)
Hg2 0.969 0.500 0.753 (multiplicity 1)
Se1 0.042 0.500 0.177 (multiplicity 1)

=====

# 2
DFT (PBE-GGA) results for crystalline SiHg2Se at its relaxed geometry.

Computed properties:
D(E_F) (states/eV/cell): 2.4
Total energy (eV/atom): -2.09
Energy relative to the elements, uncorrected (eV/atom): 0.2837
Total moment (μB per formula unit): 0.00
Energy above the most stable polymorph in this dataset (meV per atom): 267

Lattice parameters (Å, degrees): 2.978 4.548 14.389 90.00 90.00 90.00
Space group Immm (No. 71)
Unique sites:
Si1 0.000 0.000 0.000 (multiplicity 2)
Hg1 0.000 0.500 0.316 (multiplicity 4)
Se1 0.000 0.000 0.500 (multiplicity 2)

=====

# 3
DFT (PBE-GGA) results for crystalline SiHgSe2 at its relaxed geometry.

Computed properties:
D(E_F) (states/eV/cell): 2.3
Total energy (eV/atom): -3.47
Energy relative to the elements, uncorrected (eV/atom): -0.2976
Total moment (μB per formula unit): 0.00

Lattice parameters (Å, degrees): 6.013 13.739 7.507 90.00 113.56 90.00
Space group Cm (No. 8)
Unique sites:
Si1 0.000 0.000 0.000 (multiplicity 2)
Si2 0.000 0.500 0.000 (multiplicity 2)
Hg1 0.002 0.250 0.500 (multiplicity 4)
Se1 0.123 0.000 0.745 (multiplicity 2)
Se2 0.250 0.372 0.000 (multiplicity 4)
Se3 0.377 0.000 0.255 (multiplicity 2)

=====

# 4
DFT (PBE-GGA) results for crystalline SiHg2Se at its relaxed geometry.

Computed properties:
D(E_F) (states/eV/cell): 1.4
Total energy (eV/atom): -2.06
Energy relative to the elements, uncorrected (eV/atom): 0.3169
Total moment (μB per formula unit): 0.00
Energy above the most stable polymorph in this dataset (meV per atom): 300

Lattice parameters (Å, degrees): 3.995 3.995 6.186 90.00 90.00 90.00
Space group P4/mmm (No. 123)
Unique sites:
Si1 0.000 0.000 0.000 (multiplicity 1)
Hg1 0.000 0.500 0.500 (multiplicity 2)
Se1 0.500 0.500 0.000 (multiplicity 1)

=====

# 5
DFT (PBE-GGA) results for crystalline SiHg2Se at its relaxed geometry.

Computed properties:
D(E_F) (states/eV/cell): 1.4
Total energy (eV/atom): -2.28
Energy relative to the elements, uncorrected (eV/atom): 0.0985
Total moment (μB per formula unit): 0.00
Energy above the most stable polymorph in this dataset (meV per atom): 82

Lattice parameters (Å, degrees): 11.056 3.362 6.551 90.00 116.53 90.00
Space group Cm (No. 8)
Unique sites:
Si1 0.000 0.000 0.000 (multiplicity 2)
Hg1 0.026 0.500 0.631 (multiplicity 2)
Hg2 0.221 0.500 0.394 (multiplicity 2)
Se1 0.352 0.000 0.003 (multiplicity 2)

=====

# 6
DFT (PBE-GGA) results for crystalline SiHgSe2 at its relaxed geometry.

Computed properties:
D(E_F) (states/eV/cell): 2.5
Total energy (eV/atom): -3.06
Energy relative to the elements, uncorrected (eV/atom): 0.1160
Total moment (μB per formula unit): 0.00

Lattice parameters (Å, degrees): 3.436 3.731 14.211 90.00 90.00 90.00
Space group Imm2 (No. 44)
Unique sites:
Si1 0.000 0.000 0.000 (multiplicity 2)
Hg1 0.000 0.500 0.253 (multiplicity 2)
Se1 0.000 0.000 0.420 (multiplicity 2)
Se2 0.000 0.500 0.625 (multiplicity 2)

=====

# 7
DFT (PBE-GGA) results for crystalline SiHgSe2 at its relaxed geometry.

Computed properties:
D(E_F) (states/eV/cell): 1.5
Total energy (eV/atom): -2.70
Energy relative to the elements, uncorrected (eV/atom): 0.4759
Total moment (μB per formula unit): 0.00

Lattice parameters (Å, degrees): 3.683 4.253 5.616 90.00 90.00 90.00
Space group Pmmm (No. 47)
Unique sites:
Si1 0.000 0.000 0.000 (multiplicity 1)
Hg1 0.500 0.500 0.000 (multiplicity 1)
Se1 0.000 0.500 0.500 (multiplicity 1)
Se2 0.500 0.000 0.500 (multiplicity 1)

=====

# 8
DFT (PBE-GGA) results for crystalline SiHg2Se at its relaxed geometry.

Computed properties:
D(E_F) (states/eV/cell): 3.8
Total energy (eV/atom): -1.95
Energy relative to the elements, uncorrected (eV/atom): 0.4289
Total moment (μB per formula unit): 0.00
Energy above the most stable polymorph in this dataset (meV per atom): 412

Lattice parameters (Å, degrees): 2.9254 2.9254 36.5727 90.00 90.00 120.00
Space group R-3m (No. 166, hexagonal axes)
Unique sites:
Si1 0.0000 0.0000 0.0000 (multiplicity 3)
Hg1 0.0000 0.0000 0.2557 (multiplicity 6)
Se1 0.0000 0.0000 0.5000 (multiplicity 3)

=====

# 9
DFT (PBE-GGA) results for crystalline SiHg2Se at its relaxed geometry.

Computed properties:
D(E_F) (states/eV/cell): 2.1
Total energy (eV/atom): -1.91
Energy relative to the elements, uncorrected (eV/atom): 0.4705
Total moment (μB per formula unit): 0.00
Energy above the most stable polymorph in this dataset (meV per atom): 454

Lattice parameters (Å, degrees): 3.362 3.362 7.779 90.00 90.00 90.00
Space group P4/mmm (No. 123)
Unique sites:
Si1 0.000 0.000 0.000 (multiplicity 1)
Hg1 0.500 0.500 0.235 (multiplicity 2)
Se1 0.000 0.000 0.500 (multiplicity 1)

=====

# 10
DFT (PBE-GGA) results for crystalline SiHgSe2 at its relaxed geometry.

Computed properties:
D(E_F) (states/eV/cell): 4.5
Total energy (eV/atom): -2.72
Energy relative to the elements, uncorrected (eV/atom): 0.4486
Total moment (μB per formula unit): 0.00

Lattice parameters (Å, degrees): 5.434 12.142 2.784 90.00 91.23 90.00
Space group C2/m (No. 12)
Unique sites:
Si1 0.000 0.000 0.000 (multiplicity 2)
Hg1 0.000 0.500 0.000 (multiplicity 2)
Se1 0.250 0.250 0.500 (multiplicity 4)

=====

# 11
DFT (PBE-GGA) results for crystalline Si2Hg2Se at its relaxed geometry.

Computed properties:
D(E_F) (states/eV/cell): 5.2
Total energy (eV/atom): -2.64
Energy relative to the elements, uncorrected (eV/atom): 0.3446
Total moment (μB per formula unit): 0.00
Energy above the most stable polymorph in this dataset (meV per atom): 0

Lattice parameters (Å, degrees): 3.556 3.556 16.878 90.00 90.00 90.00
Space group I4/mmm (No. 139)
Unique sites:
Si1 0.000 0.500 0.250 (multiplicity 4)
Hg1 0.000 0.000 0.102 (multiplicity 4)
Se1 0.000 0.000 0.500 (multiplicity 2)

=====

# 12
DFT (PBE-GGA) results for crystalline SiHgSe2 at its relaxed geometry.

Computed properties:
Total energy (eV/atom): -3.13
Energy relative to the elements, uncorrected (eV/atom): 0.0467
Total moment (μB per formula unit): 0.00

Lattice parameters (Å, degrees): 3.335 8.113 10.003 90.00 90.00 90.00
Space group Cmmm (No. 65)
Unique sites:
Si1 0.000 0.000 0.000 (multiplicity 2)
Hg1 0.000 0.000 0.500 (multiplicity 2)
Se1 0.000 0.500 0.167 (multiplicity 4)

=====

# 13
DFT (PBE-GGA) results for crystalline SiHg2Se at its relaxed geometry.

Computed properties:
D(E_F) (states/eV/cell): 1.1
Total energy (eV/atom): -2.07
Energy relative to the elements, uncorrected (eV/atom): 0.3073
Total moment (μB per formula unit): 0.00
Energy above the most stable polymorph in this dataset (meV per atom): 290

Lattice parameters (Å, degrees): 4.009 4.009 11.978 90.00 90.00 90.00
Space group I4/mmm (No. 139)
Unique sites:
Si1 0.000 0.000 0.000 (multiplicity 2)
Hg1 0.000 0.500 0.250 (multiplicity 4)
Se1 0.000 0.000 0.500 (multiplicity 2)

=====

# 14
DFT (PBE-GGA) results for crystalline SiHgSe2 at its relaxed geometry.

Computed properties:
D(E_F) (states/eV/cell): 3.8
Total energy (eV/atom): -2.89
Energy relative to the elements, uncorrected (eV/atom): 0.2822
Total moment (μB per formula unit): 0.00

Lattice parameters (Å, degrees): 3.801 3.801 15.305 90.00 90.00 90.00
Space group I-4m2 (No. 119)
Unique sites:
Si1 0.000 0.000 0.000 (multiplicity 2)
Hg1 0.000 0.500 0.750 (multiplicity 2)
Se1 0.000 0.000 0.500 (multiplicity 2)
Se2 0.000 0.500 0.250 (multiplicity 2)

=====

# 15
DFT (PBE-GGA) results for crystalline Si2HgSe2 at its relaxed geometry.

Computed properties:
D(E_F) (states/eV/cell): 0.0
Total energy (eV/atom): -3.38
Energy relative to the elements, uncorrected (eV/atom): 0.2460
Total moment (μB per formula unit): 0.00

Lattice parameters (Å, degrees): 9.660 9.660 3.359 90.00 90.00 90.00
Space group P4/mbm (No. 127)
Unique sites:
Si1 0.243 0.257 0.000 (multiplicity 4)
Hg1 0.000 0.000 0.500 (multiplicity 2)
Se1 0.139 0.639 0.500 (multiplicity 4)

=====

# 16
DFT (PBE-GGA) results for crystalline TaSi2HgSe at its relaxed geometry.

Computed properties:
D(E_F) (states/eV/cell): 5.3
Total energy (eV/atom): -3.81
Energy relative to the elements, uncorrected (eV/atom): 1.4915
Total moment (μB per formula unit): 0.01

Lattice parameters (Å, degrees): 4.727 4.727 4.979 90.00 90.00 90.00
Space group P4/mmm (No. 123)
Unique sites:
Ta1 0.000 0.000 0.000 (multiplicity 1)
Si1 0.000 0.500 0.500 (multiplicity 2)
Hg1 0.500 0.500 0.000 (multiplicity 1)
Se1 0.500 0.500 0.500 (multiplicity 1)

=====

# 17
DFT (PBE-GGA) results for crystalline Tb8SiHg4Se3 at its relaxed geometry.

Computed properties:
D(E_F) (states/eV/cell): 25.0
Total energy (eV/atom): -4.36
Energy relative to the elements, uncorrected (eV/atom): -0.9787
Total moment (μB per formula unit): 0.00

Lattice parameters (Å, degrees): 8.0160 8.0160 22.9683 90.00 90.00 120.00
Space group R-3m (No. 166, hexagonal axes)
Unique sites:
Tb1 0.0000 0.0000 0.2419 (multiplicity 6)
Tb2 0.0070 0.5035 0.2407 (multiplicity 18)
Si1 0.0000 0.0000 0.5000 (multiplicity 3)
Hg1 0.0000 0.0000 0.0000 (multiplicity 3)
Hg2 0.0000 0.5000 0.0000 (multiplicity 9)
Se1 0.0000 0.5000 0.5000 (multiplicity 9)

=====

# 18
DFT (PBE-GGA) results for crystalline Th4SiHgSe2 at its relaxed geometry.

Computed properties:
D(E_F) (states/eV/cell): 5.7
Total energy (eV/atom): -6.26
Energy relative to the elements, uncorrected (eV/atom): -0.9671
Total moment (μB per formula unit): 0.00

Lattice parameters (Å, degrees): 7.311 4.284 7.590 90.00 109.38 90.00
Space group P2/m (No. 10)
Unique sites:
Th1 0.242 0.000 0.235 (multiplicity 2)
Th2 0.253 0.500 0.765 (multiplicity 2)
Si1 0.000 0.500 0.000 (multiplicity 1)
Hg1 0.000 0.000 0.500 (multiplicity 1)
Se1 0.500 0.000 0.000 (multiplicity 1)
Se2 0.500 0.500 0.500 (multiplicity 1)

=====

# 19
DFT (PBE-GGA) results for crystalline Tl2SiHgSe4 at its relaxed geometry.

Computed properties:
Total energy (eV/atom): -3.44
Energy relative to the elements, uncorrected (eV/atom): -0.3953
Total moment (μB per formula unit): 0.00
Energy above the most stable polymorph in this dataset (meV per atom): 0

Lattice parameters (Å, degrees): 8.140 8.140 6.854 90.00 90.00 90.00
Space group I-42m (No. 121)
Unique sites:
Tl1 0.000 0.500 0.000 (multiplicity 4)
Si1 0.000 0.000 0.000 (multiplicity 2)
Hg1 0.000 0.000 0.500 (multiplicity 2)
Se1 0.161 0.161 0.204 (multiplicity 8)

=====

# 20
DFT (PBE-GGA) results for crystalline Tl2SiHgSe4 at its relaxed geometry.

Computed properties:
D(E_F) (states/eV/cell): 18.1
Total energy (eV/atom): -3.21
Energy relative to the elements, uncorrected (eV/atom): -0.1638
Total moment (μB per formula unit): 0.00
Energy above the most stable polymorph in this dataset (meV per atom): 231

Lattice parameters (Å, degrees): 7.981 8.590 11.821 90.00 90.00 90.00
Space group Imma (No. 74)
Unique sites:
Tl1 0.000 0.000 0.000 (multiplicity 4)
Tl2 0.250 0.250 0.250 (multiplicity 4)
Si1 0.250 0.250 0.750 (multiplicity 4)
Hg1 0.000 0.000 0.500 (multiplicity 4)
Se1 0.000 0.048 0.747 (multiplicity 8)
Se2 0.237 0.250 0.526 (multiplicity 8)

=====

# 21
DFT (PBE-GGA) results for crystalline Sm3HgSe at its relaxed geometry.

Computed properties:
D(E_F) (states/eV/cell): 18.9
Total energy (eV/atom): -4.47
Energy relative to the elements, uncorrected (eV/atom): -0.8851
Total moment (μB per formula unit): 0.00

Lattice parameters (Å, degrees): 9.172 4.067 15.716 90.00 90.00 90.00
Space group Pnma (No. 62)
Unique sites:
Sm1 0.020 0.250 0.109 (multiplicity 4)
Sm2 0.156 0.250 0.542 (multiplicity 4)
Sm3 0.176 0.750 0.287 (multiplicity 4)
Hg1 0.098 0.750 0.693 (multiplicity 4)
Se1 0.184 0.250 0.950 (multiplicity 4)

=====

# 22
DFT (PBE-GGA) results for crystalline Sm7HgSe5 at its relaxed geometry.

Computed properties:
D(E_F) (states/eV/cell): 30.3
Total energy (eV/atom): -5.38
Energy relative to the elements, uncorrected (eV/atom): -1.4780
Total moment (μB per formula unit): 0.00

Lattice parameters (Å, degrees): 13.717 4.149 24.986 90.00 90.03 90.00
Space group C2/m (No. 12)
Unique sites:
Sm1 0.027 0.000 0.250 (multiplicity 4)
Sm2 0.088 0.500 0.391 (multiplicity 4)
Sm3 0.089 0.500 0.109 (multiplicity 4)
Sm4 0.137 0.000 0.537 (multiplicity 4)
Sm5 0.137 0.000 0.963 (multiplicity 4)
Sm6 0.185 0.500 0.824 (multiplicity 4)
Sm7 0.186 0.500 0.677 (multiplicity 4)
Hg1 0.199 0.500 0.250 (multiplicity 4)
Se1 0.000 0.500 0.000 (multiplicity 2)
Se2 0.000 0.500 0.500 (multiplicity 2)
Se3 0.049 0.000 0.642 (multiplicity 4)
Se4 0.049 0.000 0.858 (multiplicity 4)
Se5 0.225 0.000 0.071 (multiplicity 4)
Se6 0.225 0.000 0.429 (multiplicity 4)

=====

# 23
DFT (PBE-GGA) results for crystalline Sm3Hg2Se at its relaxed geometry.

Computed properties:
D(E_F) (states/eV/cell): 17.2
Total energy (eV/atom): -3.90
Energy relative to the elements, uncorrected (eV/atom): -0.8622
Total moment (μB per formula unit): 0.00

Lattice parameters (Å, degrees): 8.381 11.864 7.047 90.00 104.59 90.00
Space group C2/c (No. 15)
Unique sites:
Sm1 0.206 0.082 0.471 (multiplicity 8)
Sm2 0.250 0.250 0.000 (multiplicity 4)
Hg1 0.000 0.294 0.250 (multiplicity 4)
Hg2 0.000 0.438 0.750 (multiplicity 4)
Se1 0.000 0.097 0.750 (multiplicity 4)

=====

# 24
DFT (PBE-GGA) results for crystalline Sm6HgSe4 at its relaxed geometry.

Computed properties:
D(E_F) (states/eV/cell): 28.5
Total energy (eV/atom): -5.29
Energy relative to the elements, uncorrected (eV/atom): -1.4172
Total moment (μB per formula unit): 0.00

Lattice parameters (Å, degrees): 4.155 13.763 21.283 90.00 90.00 90.00
Space group Cmcm (No. 63)
Unique sites:
Sm1 0.000 0.000 0.000 (multiplicity 4)
Sm2 0.000 0.168 0.250 (multiplicity 4)
Sm3 0.000 0.273 0.585 (multiplicity 8)
Sm4 0.000 0.454 0.164 (multiplicity 8)
Hg1 0.000 0.162 0.750 (multiplicity 4)
Se1 0.000 0.090 0.124 (multiplicity 8)
Se2 0.000 0.362 0.040 (multiplicity 8)